First-principles (PBE-GGA) data for a relaxed structure of Tl9Bi2Sb, as listed in the Alexandria database.

a b c (Å): 4.998 4.998 15.008
angles (deg): 90.00 90.00 90.00
Space group P4/mmm (No. 123)
Inequivalent atoms, fractional coordinates:
Tl 0.000 0.000 0.000 (multiplicity 1)
Tl 0.000 0.000 0.332 (multiplicity 2)
Tl 0.000 0.500 0.163 (multiplicity 4)
Tl 0.000 0.500 0.500 (multiplicity 2)
Bi 0.500 0.500 0.333 (multiplicity 2)
Sb 0.500 0.500 0.000 (multiplicity 1)

Computed properties:
Crystal system = tetragonal
V = 31.25 A^3/atom
Total energy = -33.40 eV/cell


First-principles (PBE-GGA) data for a relaxed structure of Tl6BiSb2, as listed in the Alexandria database.

a b c (Å): 5.6275 5.6275 32.6570
angles (deg): 90.00 90.00 120.00
Space group R-3m (No. 166, hexagonal axes)
Inequivalent atoms, fractional coordinates:
Tl 0.0000 0.0000 0.0894 (multiplicity 6)
Tl 0.0000 0.0000 0.1972 (multiplicity 6)
Tl 0.0000 0.0000 0.3015 (multiplicity 6)
Bi 0.0000 0.0000 0.5000 (multiplicity 3)
Sb 0.0000 0.0000 0.3997 (multiplicity 6)

Computed properties:
Crystal system = trigonal
V = 33.17 A^3/atom
Total energy = -78.73 eV/cell


First-principles (PBE-GGA) data for a relaxed structure of Tl6BiSb3, as listed in the Alexandria database.

a b c (Å): 9.4889 9.4889 13.0588
angles (deg): 90.00 90.00 120.00
Space group R3 (No. 146, hexagonal axes)
Inequivalent atoms, fractional coordinates:
Tl 0.0018 0.6911 0.0000 (multiplicity 9)
Tl 0.0040 0.3047 0.5023 (multiplicity 9)
Bi 0.0000 0.0000 0.1393 (multiplicity 3)
Sb 0.0000 0.0000 0.3682 (multiplicity 3)
Sb 0.0000 0.0000 0.6413 (multiplicity 3)
Sb 0.0000 0.0000 0.8623 (multiplicity 3)

Computed properties:
Crystal system = trigonal
V = 33.94 A^3/atom
Total energy = -90.78 eV/cell


First-principles (PBE-GGA) data for a relaxed structure of Tl2BiSb, as listed in the Alexandria database.

a b c (Å): 5.2930 5.2930 17.1365
angles (deg): 90.00 90.00 120.00
Space group R3m (No. 160, hexagonal axes)
Inequivalent atoms, fractional coordinates:
Tl 0.0000 0.0000 0.0000 (multiplicity 3)
Tl 0.0000 0.0000 0.1957 (multiplicity 3)
Bi 0.0000 0.0000 0.4215 (multiplicity 3)
Sb 0.0000 0.0000 0.5993 (multiplicity 3)

Computed properties:
Crystal system = trigonal
ΔE to the lowest computed polymorph = 109 meV per atom
V = 34.65 A^3/atom


First-principles (PBE-GGA) data for a relaxed structure of Tl7Bi3Sb, as listed in the Alexandria database.

a b c (Å): 7.0368 7.0368 8.5486
angles (deg): 90.00 90.00 120.00
Space group P3m1 (No. 156)
Inequivalent atoms, fractional coordinates:
Tl 0.0000 0.0000 0.0000 (multiplicity 1)
Tl 0.0087 0.5043 0.9882 (multiplicity 3)
Tl 0.1675 0.3351 0.6387 (multiplicity 3)
Bi 0.3619 0.1809 0.3206 (multiplicity 3)
Sb 0.6667 0.3333 0.6858 (multiplicity 1)

Computed properties:
Crystal system = trigonal
V = 33.33 A^3/atom
Total energy = -31.79 eV/cell


First-principles (PBE-GGA) data for a relaxed structure of TlBiSb, as listed in the Alexandria database.

a b c (Å): 6.642 3.334 8.688
angles (deg): 90.00 103.41 90.00
Space group P2/m (No. 10)
Inequivalent atoms, fractional coordinates:
Tl 0.086 0.000 0.323 (multiplicity 2)
Bi 0.417 0.500 0.668 (multiplicity 2)
Sb 0.238 0.500 0.006 (multiplicity 2)

Computed properties:
Crystal system = monoclinic
ΔE to the lowest computed polymorph = 19 meV per atom
V = 31.19 A^3/atom


First-principles (PBE-GGA) data for a relaxed structure of TlBi3Sb, as listed in the Alexandria database.

a b c (Å): 5.917 5.917 5.917
angles (deg): 90.00 90.00 90.00
Space group Pm-3m (No. 221)
Inequivalent atoms, fractional coordinates:
Tl 0.000 0.000 0.000 (multiplicity 1)
Bi 0.000 0.500 0.500 (multiplicity 3)
Sb 0.500 0.500 0.500 (multiplicity 1)

Computed properties:
Crystal system = cubic
ΔE to the lowest computed polymorph = 0 meV per atom
V = 41.43 A^3/atom


First-principles (PBE-GGA) data for a relaxed structure of TlBiSb, as listed in the Alexandria database.

a b c (Å): 11.390 8.699 4.365
angles (deg): 90.00 110.68 90.00
Space group Cm (No. 8)
Inequivalent atoms, fractional coordinates:
Tl 0.000 0.000 0.000 (multiplicity 2)
Tl 0.200 0.500 0.206 (multiplicity 2)
Bi 0.256 0.194 0.765 (multiplicity 4)
Sb 0.457 0.174 0.452 (multiplicity 4)

Computed properties:
Crystal system = monoclinic
ΔE to the lowest computed polymorph = 23 meV per atom
V = 33.71 A^3/atom